PaMnP2Ru2: relaxed, PBE-GGA.

abc: 3.822 3.822 7.486
angles: 104.79 104.79 90.00
Fractional positions:
1 Ru 0.750 0.250 0.500
2 Ru 0.250 0.750 0.500
3 Pa 0.500 0.500 0.000
4 P 0.843 0.843 0.686
5 P 0.157 0.157 0.314
6 Mn 0.000 0.000 0.000

**Total magnetic moment**: 0.00 μB/atom
**E_form**: -47.7 kJ per mole of atoms
**Crystal system**: tetragonal